A relaxed structure of CsMnV2Cl8, computed with PBE-GGA.

## Properties
Formation energy without anion corrections = -1.19 eV per atom
Uncorrected energy = -4.776 eV per atom
Size of the total moment = 30.5 Bohr magnetons per cell

abc: 6.5447 6.5447 28.7647
angles: 90.00 90.00 120.00
Space group R-3 (No. 148, hexagonal axes)
One atom of each set of equivalent atoms:
Cs: 0.0000 0.0000 0.0000 [3 per cell]
Mn: 0.0000 0.0000 0.5000 [3 per cell]
V: 0.0000 0.0000 0.2358 [6 per cell]
Cl: 0.0000 0.0000 0.3143 [6 per cell]
Cl: 0.0072 0.3182 0.5513 [18 per cell]